[1]
VASP calculation (PBE-GGA) on a relaxed NaPmMgSn crystal.

Geometry as POSCAR:
```
NaPmMgSn
1.0
-1.989 1.703 4.673
-5.210 -0.619 1.078
-1.567 -3.547 3.695
Na Mg Sn Pm
1 1 1 1
Direct
0.250 0.250 0.250
0.500 0.500 0.500
0.000 0.000 0.000
0.750 0.750 0.750
```

Calculated values
The calculated density is 4.75 g/cm³. The value obtained for the density of states at the Fermi level is 0.312 states/eV per atom. The total magnetic moment is 0.0 μB per formula unit. Its calculated total energy is -12.72 eV per cell. The value obtained for the energy of formation is -1.1 eV/f.u.

[2]
VASP calculation (PBE-GGA) on a relaxed NaSrPmMg crystal.

Geometry as POSCAR:
```
NaSrPmMg
1.0
-0.712 2.440 -5.253
-4.914 2.898 -1.230
0.099 5.809 -0.557
Sr Mg Na Pm
1 1 1 1
Direct
0.250 0.250 0.250
0.500 0.500 0.500
0.000 0.000 0.000
0.750 0.750 0.750
```

Calculated values
The calculated density is 3.31 g/cm³. The value obtained for the density of states at the Fermi level is 1.087 states/eV per atom. The total magnetic moment is 0.0 μB per formula unit. Its calculated total energy is -8.82 eV per cell. The value obtained for the energy of formation is 0.5 eV/f.u.

[3]
VASP calculation (PBE-GGA) on a relaxed NaPr5Mg4 crystal.

Geometry as POSCAR:
```
NaPr5Mg4
1.0
-2.583 1.632 -2.447
-1.739 -3.474 -0.482
-12.316 3.994 15.660
Na Pr Mg
1 5 4
Direct
0.000 0.000 0.000
0.500 0.500 0.118
0.500 0.500 0.307
0.500 0.500 0.500
0.500 0.500 0.693
0.500 0.500 0.882
0.000 0.000 0.212
0.000 0.000 0.403
0.000 0.000 0.597
0.000 0.000 0.788
```

Calculated values
The calculated density is 4.40 g/cm³. The value obtained for the density of states at the Fermi level is 1.106 states/eV per atom. The total magnetic moment is 0.0 μB per formula unit. Its calculated total energy is -31.99 eV per cell. The value obtained for the energy of formation is -0.4 eV/f.u.

[4]
VASP calculation (PBE-GGA) on a relaxed NaPr2Mg crystal.

Geometry as POSCAR:
```
NaPr2Mg
1.0
-0.360 0.565 -3.475
-3.213 -0.075 -1.481
-2.474 12.577 0.500
Pr Na Mg
2 1 1
Direct
0.095 0.095 0.714
0.905 0.905 0.286
0.000 0.000 0.000
0.500 0.500 0.500
```

Calculated values
The calculated density is 3.98 g/cm³. The value obtained for the density of states at the Fermi level is 1.121 states/eV per atom. The value obtained for the energy above the most stable polymorph in this dataset is 0.072 eV/atom. The total magnetic moment is 0.0 μB per formula unit. Its calculated total energy is -11.89 eV per cell. The value obtained for the energy of formation is 0.6 eV/f.u.